[1]
Crystalline HoSnAu2 at its relaxed geometry, computed with GGA-PBEsol.

a b c (Å): 4.871 4.871 4.871
angles (deg): 60.00 60.00 60.00
Sites, in units of the cell vectors:
Ho1 0.000 0.000 0.000
Sn1 0.500 0.500 0.500
Au1 0.250 0.250 0.250
Au2 0.750 0.750 0.750

Symmetry: Fm-3m (225)
DOS(E_F) in states/eV/f.u.: 1.29
E in eV per cell: -19.9
ΔH_f (0 K) in meV per atom: -711

---

[2]
Crystalline SiHgRh at its relaxed geometry, computed with GGA-PBEsol.

a b c (Å): 5.314 5.314 5.314
angles (deg): 145.52 145.52 49.56
Sites, in units of the cell vectors:
Si1 0.000 0.000 0.000
Hg1 0.298 0.298 0.000
Rh1 0.596 0.596 0.000

Symmetry: I4mm (107)
DOS(E_F) in states/eV/f.u.: 0.95
E in eV per cell: -15.1
Formation energy from raw total energies in eV per atom: -0.2059

---

[3]
Crystalline Nb2ReRuO at its relaxed geometry, computed with GGA-PBEsol.

a b c (Å): 4.896 4.896 3.528
angles (deg): 90.00 90.00 90.00
Sites, in units of the cell vectors:
Nb1 0.000 0.500 0.000
Nb2 0.500 0.000 0.000
Re1 0.000 0.000 0.500
Ru1 0.500 0.500 0.000
O1 0.500 0.500 0.500

Symmetry: P4/mmm (123)
DOS(E_F) in states/eV/f.u.: 5.16
E in eV per cell: -46.0
Formation energy from raw total energies in eV per atom: 0.8704

---

[4]
Crystalline Lu4NiB13 at its relaxed geometry, computed with GGA-PBEsol.

a b c (Å): 7.182 7.182 6.649
angles (deg): 90.00 90.00 90.00
Sites, in units of the cell vectors:
Lu1 0.181 0.315 0.000
Lu2 0.185 0.319 0.500
Lu3 0.315 0.819 0.000
Lu4 0.319 0.815 0.500
Lu5 0.681 0.185 0.500
Lu6 0.685 0.181 0.000
Lu7 0.815 0.681 0.500
Lu8 0.819 0.685 0.000
Ni1 0.000 0.000 0.500
Ni2 0.500 0.500 0.000
B1 0.000 0.000 0.000
B2 0.040 0.829 0.243
B3 0.040 0.829 0.757
B4 0.090 0.590 0.250
B5 0.090 0.590 0.750
B6 0.171 0.040 0.243
B7 0.171 0.040 0.757
B8 0.329 0.540 0.257
B9 0.329 0.540 0.743
B10 0.410 0.090 0.250
B11 0.410 0.090 0.750
B12 0.460 0.329 0.257
B13 0.460 0.329 0.743
B14 0.500 0.500 0.500
B15 0.540 0.671 0.257
B16 0.540 0.671 0.743
B17 0.590 0.910 0.250
B18 0.590 0.910 0.750
B19 0.671 0.460 0.257
B20 0.671 0.460 0.743
B21 0.829 0.960 0.243
B22 0.829 0.960 0.757
B23 0.910 0.410 0.250
B24 0.910 0.410 0.750
B25 0.960 0.171 0.243
B26 0.960 0.171 0.757

Symmetry: P4/mnc (128)
DOS(E_F) in states/eV/f.u.: 4.02
E in eV per cell: -255.3
ΔH_f (0 K) in meV per atom: -600

---

[5]
Crystalline Cu8Sb at its relaxed geometry, computed with GGA-PBEsol.

a b c (Å): 5.801 5.801 5.801
angles (deg): 95.89 95.89 142.64
Sites, in units of the cell vectors:
Cu1 0.000 0.341 0.341
Cu2 0.000 0.659 0.659
Cu3 0.326 0.326 0.652
Cu4 0.326 0.674 0.000
Cu5 0.341 0.000 0.341
Cu6 0.659 0.000 0.659
Cu7 0.674 0.326 0.000
Cu8 0.674 0.674 0.348
Sb1 0.000 0.000 0.000

Symmetry: I4/mmm (139)
DOS(E_F) in states/eV/f.u.: 2.72
E in eV per cell: -38.8
Formation energy from raw total energies in eV per atom: 0.0441

---

[6]
Crystalline KAl at its relaxed geometry, computed with GGA-PBEsol.

a b c (Å): 4.657 3.425 9.238
angles (deg): 90.00 90.00 90.00
Sites, in units of the cell vectors:
K1 0.250 0.000 0.213
K2 0.750 0.000 0.787
Al1 0.250 0.500 0.562
Al2 0.750 0.500 0.438

Symmetry: Pmma (51)
DOS(E_F) in states/eV/f.u.: 1.06
E in eV per cell: -9.2
Energy above the most stable polymorph in this dataset in meV/atom: 3
ΔH_f (0 K) in meV per atom: 305

---

Q: Which of these has the lowest E?
A: Lu4NiB13

---

Repeat the fifth record exactly.
Crystalline Cu8Sb at its relaxed geometry, computed with GGA-PBEsol.

a b c (Å): 5.801 5.801 5.801
angles (deg): 95.89 95.89 142.64
Sites, in units of the cell vectors:
Cu1 0.000 0.341 0.341
Cu2 0.000 0.659 0.659
Cu3 0.326 0.326 0.652
Cu4 0.326 0.674 0.000
Cu5 0.341 0.000 0.341
Cu6 0.659 0.000 0.659
Cu7 0.674 0.326 0.000
Cu8 0.674 0.674 0.348
Sb1 0.000 0.000 0.000

Symmetry: I4/mmm (139)
DOS(E_F) in states/eV/f.u.: 2.72
E in eV per cell: -38.8
Formation energy from raw total energies in eV per atom: 0.0441

---

Q: E of number 3 (Nb2ReRuO)?
A: -46.0 eV per cell